PrSm3Er4 (PBE, relaxed); ΔE to the lowest computed polymorph = 0.004 eV/atom; volume = 524.5 Å³/cell; formation energy from the elements = 0.02 eV per atom
1.0
11.440 0.000 0.000
0.000 7.297 0.000
0.000 0.000 6.284
Pr Sm Er
2 6 8
Direct
0.000 0.127 0.000
0.500 0.873 0.500
0.000 0.872 0.501
0.250 0.128 0.336
0.250 0.872 0.836
0.500 0.128 0.001
0.750 0.128 0.336
0.750 0.872 0.836
0.000 0.379 0.501
0.000 0.621 0.003
0.249 0.621 0.335
0.251 0.379 0.835
0.500 0.379 0.503
0.500 0.621 0.001
0.749 0.379 0.835
0.751 0.621 0.335

AcDyTl2 (PBE, relaxed); volume = 124.1 Å³/cell; formation energy from the elements = -0.34 eV per atom
1.0
3.912 0.000 0.000
0.000 3.912 0.000
0.000 0.000 8.110
Ac Dy Tl
1 1 2
Direct
0.000 0.000 0.000
0.000 0.000 0.500
0.500 0.500 0.278
0.500 0.500 0.722